Compound: K2SrBe
Source: the Alexandria database
Functional: GGA-PBEsol
Structure: relaxed

```
4
Lattice="4.399 0.000 0.000 0.000 6.700 0.023 0.000 -3.014 5.984" Properties=species:S:1:pos:R:3 pbc="T T T"
K 0.000 -1.507 2.992
Sr 2.200 0.000 0.000
Be 2.200 1.843 3.003
K 0.000 3.350 0.012
```

Values from the calculation:
For the electronic total energy, the calculation gives -1.261 eV/atom. As for the space group: Cmmm, No. 65. For the size of the total moment, the calculation gives 0.00 μB per formula unit. The calculation puts the formation energy at 73.9 kJ per mole of atoms.